Record 1
! GGA-PBE NaLiNb2Se4, relaxed; values from VASP
&SYSTEM
  ibrav = 0, nat = 8, ntyp = 4
/
ATOMIC_SPECIES
Li 6.94 Li.upf
Na 22.99 Na.upf
Nb 92.91 Nb.upf
Se 78.96 Se.upf
CELL_PARAMETERS angstrom
-1.659 3.118 0.376
-1.223 -2.393 -2.322
-8.246 -5.607 10.121
ATOMIC_POSITIONS angstrom
Li 0.000 0.000 0.000
Na -4.123 -2.804 5.060
Nb -1.951 -1.327 2.395
Nb -6.295 -4.281 7.726
Se -2.353 -1.226 -0.214
Se -4.282 -2.538 2.154
Se -6.846 -2.345 6.021
Se -8.775 -3.657 8.389
! Total energy = -5.714 eV/atom
! Symmetry = P-3m1

---

Record 2
! GGA-PBE NaLaCoBi, relaxed; values from VASP
&SYSTEM
  ibrav = 0, nat = 4, ntyp = 4
/
ATOMIC_SPECIES
Bi 208.98 Bi.upf
Co 58.93 Co.upf
La 138.91 La.upf
Na 22.99 Na.upf
CELL_PARAMETERS angstrom
0.000 3.507 3.507
3.507 0.000 3.507
3.507 3.507 0.000
ATOMIC_POSITIONS angstrom
Bi 0.000 0.000 0.000
Co 1.754 1.754 1.754
La 3.507 3.507 3.507
Na 5.261 5.261 5.261
! Total energy = -4.455 eV/atom
! Symmetry = F-43m

---

Record 3
! GGA-PBE Fe2CoNi, relaxed; values from VASP
&SYSTEM
  ibrav = 0, nat = 4, ntyp = 3
/
ATOMIC_SPECIES
Co 58.93 Co.upf
Fe 55.84 Fe.upf
Ni 58.69 Ni.upf
CELL_PARAMETERS angstrom
-2.883 2.321 1.352
-1.628 -0.725 3.514
0.683 2.429 3.026
ATOMIC_POSITIONS angstrom
Co -0.957 1.006 1.973
Fe -1.914 2.013 3.946
Fe -2.871 3.019 5.919
Ni 0.000 0.000 0.000
! Total energy = -7.249 eV/atom
! Symmetry = F-43m